Compound: NaAc2PaN4
Source: Alexandria via LeMat-Bulk
Functional: PBE-GGA
Structure: optimized geometry

Cell lengths 6.5244, 5.3164, 6.5359 Å; angles 65.87, 48.04, 66.09 degrees
Atoms (fractional coordinates):
Na1 0.0000 0.0000 0.0000
Ac1 0.2433 0.2433 0.2567
Ac2 0.7433 0.7433 0.7567
Pa1 0.4772 0.4772 0.5228
N1 0.0634 0.5117 0.9366
N2 0.2883 0.7023 0.2977
N3 0.5117 0.0634 0.4883
N4 0.7023 0.2883 0.7117

ρ   8.4 g cm⁻³
Final energy   -7.65 eV per atom